The following is a PBE calculation of a relaxed structure of LaPm2Sn, from Alexandria via LeMat-Bulk.

Values from the calculation:
Polymorph energy (0 for the lowest one) (meV/atom): 109
D(E_F) (states/eV/cell): 6.127
Calculated total energy (eV per formula unit): -19.84
E_form (eV/atom): -0.35
Volume (Å³/atom): 31.4

a b c (Å): 4.1673 4.1673 7.2420
angles (deg): 90.00 90.00 90.00
Last column: nearest neighbours and their distance in Å.
Space group P4/mmm (No. 123)
Inequivalent atoms, fractional coordinates:
1 La 0.0000 0.0000 0.0000 [1 per cell]  8 Pm 3.60, 2 Sn 3.62
2 Pm 0.5000 0.5000 0.2848 [2 per cell]  1 Pm 3.12, 4 Sn 3.33
3 Sn 0.0000 0.0000 0.5000 [1 per cell]  8 Pm 3.33, 2 La 3.62


The following is a PBE calculation of a relaxed structure of PmHBrO2, from Alexandria via LeMat-Bulk.

Values from the calculation:
D(E_F) (states/eV/cell): 7.258
Calculated total energy (eV per formula unit): -28.71
Volume (Å³/atom): 17.4

a b c (Å): 5.2783 3.6956 9.2973
angles (deg): 90.00 106.16 90.00
Last column: nearest neighbours and their distance in Å.
Space group P2_1/m (No. 11)
Inequivalent atoms, fractional coordinates:
1 Pm 0.2056 0.2500 0.1590 [2 per cell]  5 O 2.28-2.35
2 H 0.3477 0.2500 0.8591 [2 per cell]  1 O 1.01
3 Br 0.2457 0.7500 0.4925 [2 per cell]  4 Br 3.22-3.23, 2 Pm 3.56, 1 O 3.57
4 O 0.0792 0.2500 0.9039 [2 per cell]  1 H 1.58
5 O 0.4778 0.7500 0.1666 [2 per cell]  1 H 1.01